(1)
A relaxed structure of MnMo3C, computed with GGA-PBE.

Unit cell a=4.095 b=4.095 c=4.095 alpha=90.00 beta=90.00 gamma=90.00
Fractional positions:
C1 0.000 0.000 0.000
Mo1 0.000 0.000 0.500
Mn1 0.500 0.500 0.500
Mo2 0.500 0.000 0.000
Mo3 0.000 0.500 0.000

Magnetic moment in Bohr magnetons per cell: 0.0
E_tot in eV per cell: -49.36
Density in g/cm3: 8.58
Energy of formation in eV/atom: 0.31

=====

(2)
A relaxed structure of CrAgRu2, computed with GGA-PBE.

Unit cell a=2.768 b=3.813 c=5.617 alpha=90.00 beta=90.00 gamma=90.00
Fractional positions:
Cr1 0.500 0.500 0.776
Ru1 0.500 0.500 0.215
Ru2 0.000 0.000 0.005
Ag1 0.000 0.000 0.504

Magnetic moment in Bohr magnetons per cell: 2.2
E_tot in eV per cell: -29.47
Density in g/cm3: 10.14
Energy of formation in eV/atom: 0.39

=====

(3)
A relaxed structure of Cs2AcGe2Se6, computed with GGA-PBE.

Unit cell a=7.802 b=7.802 c=9.611 alpha=113.97 beta=90.00 gamma=120.00
Fractional positions:
Se1 0.260 0.009 0.756
Se2 0.749 0.009 0.756
Se3 0.251 0.991 0.244
Se4 0.740 0.991 0.244
Ge1 0.901 0.803 0.703
Cs1 0.283 0.566 0.848
Se5 0.252 0.504 0.245
Se6 0.748 0.496 0.755
Cs2 0.717 0.434 0.152
Ge2 0.099 0.197 0.297
Ac1 0.500 0.000 0.500

Magnetic moment in Bohr magnetons per cell: 0.0
E_tot in eV per cell: -45.42
Density in g/cm3: 4.13

=====

(4)
A relaxed structure of SrCo, computed with GGA-PBE.

Unit cell a=6.019 b=6.019 c=6.019 alpha=137.54 beta=137.54 gamma=61.61
Fractional positions:
Sr1 0.750 0.250 0.500
Co1 0.250 0.750 0.500
Co2 0.000 0.000 0.000
Sr2 0.500 0.500 0.000

Magnetic moment in Bohr magnetons per cell: 2.5
E_tot in eV per cell: -14.37
Density in g/cm3: 4.95
Energy of formation in eV/atom: 0.80

=====

(5)
A relaxed structure of Pr2ErZn, computed with GGA-PBE.

Unit cell a=5.471 b=5.471 c=5.471 alpha=60.00 beta=60.00 gamma=60.00
Fractional positions:
Pr1 0.750 0.750 0.750
Zn1 0.500 0.500 0.500
Pr2 0.250 0.250 0.250
Er1 0.000 0.000 0.000

Magnetic moment in Bohr magnetons per cell: 0.0
E_tot in eV per cell: -15.32
Density in g/cm3: 7.38
Energy of formation in eV/atom: 0.02

=====

(6)
A relaxed structure of MgPaAl2Cu2, computed with GGA-PBE.

Unit cell a=4.292 b=4.292 c=6.736 alpha=90.00 beta=90.00 gamma=120.00
Fractional positions:
Cu1 0.667 0.333 0.729
Pa1 0.000 0.000 0.000
Cu2 0.333 0.667 0.271
Al1 0.333 0.667 0.722
Al2 0.667 0.333 0.278
Mg1 0.000 0.000 0.500

Magnetic moment in Bohr magnetons per cell: 0.0
E_tot in eV per cell: -27.71
Density in g/cm3: 6.74
Energy of formation in eV/atom: -0.16